No. 1
The following is a DFT calculation (PBE) of crystalline MnHgSe4 at its relaxed geometry.

Summary:
- Crystal system: cubic
- Space group: F-43m, No. 216

Structure (extended XYZ):
```
6
Lattice="-0.3881 -2.5338 5.1994 0.5865 3.1680 4.8192 -4.5988 1.0115 3.3813" Properties=species:S:1:pos:R:3 pbc="T T T"
Mn 0.0000 0.0000 0.0000
Hg -3.3003 1.2342 10.0499
Se -1.8434 -0.6530 7.6267
Se -3.9533 1.1235 6.7156
Se -1.3550 2.2041 7.4362
Se -1.6489 0.6167 5.0213
```



No. 2
The following is a DFT calculation (PBE) of crystalline Mn2HgSe at its relaxed geometry.

Summary:
- Crystal system: tetragonal
- Space group: I-4m2, No. 119

Structure (extended XYZ):
```
4
Lattice="-5.3941 -1.4842 0.6555 -3.0749 -1.9668 -4.2902 5.0126 -0.8309 2.4317" Properties=species:S:1:pos:R:3 pbc="T T T"
Hg -2.3080 -2.0203 0.6349
Mn 0.0000 0.0000 0.0000
Mn -1.1484 -2.2616 -1.8380
Se -4.2345 -1.7255 -1.8174
```



Let's list final energy in order: -3.360 -5.271 eV per atom.
Let's list magnetic moment in order: 5.18 8.01 μB/f.u..
Let's list Fermi-level density of states in order: 0.356 0.495 states/eV per atom.